The following is a PBE calculation of a relaxed structure of Ac2ZnHg5, from Alexandria via LeMat-Bulk.

```
Ac2ZnHg5
1.0
2.4729 -9.0314 0.0000
2.4729 9.0314 0.0000
0.0000 0.0000 9.9685
Ac Zn Hg
4 2 10
direct
0.0000 0.0000 0.0000 Ac
0.0000 0.0000 0.5000 Ac
0.2083 0.7917 0.7500 Ac
0.7917 0.2083 0.2500 Ac
0.4431 0.5569 0.2500 Zn
0.5569 0.4431 0.7500 Zn
0.1872 0.8128 0.1014 Hg
0.1872 0.8128 0.3986 Hg
0.3591 0.6409 0.0350 Hg
0.3591 0.6409 0.4650 Hg
0.4125 0.5875 0.7500 Hg
0.5875 0.4125 0.2500 Hg
0.6409 0.3591 0.5350 Hg
0.6409 0.3591 0.9650 Hg
0.8128 0.1872 0.6014 Hg
0.8128 0.1872 0.8986 Hg
```

Properties
Fermi-level density of states = 5.573 states/eV/f.u.
volume = 27.83 Å³ per atom
mass density = 11.4 Mg/m³
uncorrected energy = -1.72 eV per atom

The following is a PBE calculation of a relaxed structure of Y2NiB2Ir5, from Alexandria via LeMat-Bulk.

```
Y2NiB2Ir5
1.0
9.5182 0.0000 0.0000
0.0000 9.5182 0.0000
0.0000 0.0000 3.1769
Y Ni B Ir
4 2 4 10
direct
0.1777 0.3223 0.0000 Y
0.3223 0.8223 0.0000 Y
0.6777 0.1777 0.0000 Y
0.8223 0.6777 0.0000 Y
0.0000 0.0000 0.0000 Ni
0.5000 0.5000 0.0000 Ni
0.1233 0.6233 0.0000 B
0.3767 0.1233 0.0000 B
0.6233 0.8767 0.0000 B
0.8767 0.3767 0.0000 B
0.0000 0.5000 0.5000 Ir
0.0676 0.7821 0.5000 Ir
0.2179 0.0676 0.5000 Ir
0.2821 0.5676 0.5000 Ir
0.4324 0.2821 0.5000 Ir
0.5000 0.0000 0.5000 Ir
0.5676 0.7179 0.5000 Ir
0.7179 0.4324 0.5000 Ir
0.7821 0.9324 0.5000 Ir
0.9324 0.2179 0.5000 Ir
```

Properties
Fermi-level density of states = 8.617 states/eV/f.u.
volume = 14.39 Å³ per atom
mass density = 14.1 Mg/m³
uncorrected energy = -8.18 eV per atom

The following is a PBE calculation of a relaxed structure of Sr2ErInCl8, from Alexandria via LeMat-Bulk.

```
Sr2ErInCl8
1.0
6.5407 0.0000 0.0000
0.0000 9.0686 0.0000
-0.0043 0.0000 6.7514
Sr Er In Cl
2 1 1 8
direct
0.0000 0.2496 0.0000 Sr
0.0000 0.7504 0.0000 Sr
0.5000 0.0000 0.5000 Er
0.5000 0.5000 0.5000 In
0.2217 0.5000 0.1426 Cl
0.2391 0.0000 0.1904 Cl
0.2814 0.2072 0.6666 Cl
0.2814 0.7928 0.6666 Cl
0.7186 0.2072 0.3334 Cl
0.7186 0.7928 0.3334 Cl
0.7609 0.0000 0.8096 Cl
0.7783 0.5000 0.8574 Cl
```

Properties
Fermi-level density of states = 0.000 states/eV/f.u.
volume = 33.37 Å³ per atom
mass density = 3.1 Mg/m³
formation energy from raw total energies = -2.116 eV/atom